Computed, not measured: crystalline CsPaPt2O8 at its relaxed geometry at the GGA-PBE level of DFT.

Unit cell a=5.5838 b=5.5838 c=9.5301 alpha=90.00 beta=90.00 gamma=120.00
With the nearest neighbours (Å) after each atom.
Positions (direct):
Pa 0.0000 0.0000 0.5000  6 O 2.14
O 0.7578 0.1063 0.3679  1 Pt 1.94, 1 Pa 2.14
O 0.3333 0.6667 0.9386  1 Pt 1.80
O 0.6667 0.3333 0.0614  1 Pt 1.80
O 0.8937 0.6515 0.3679  1 Pt 1.94, 1 Pa 2.14
O 0.1063 0.3485 0.6321  1 Pt 1.94, 1 Pa 2.14
O 0.2422 0.8937 0.6321  1 Pt 1.94, 1 Pa 2.14
O 0.6515 0.7578 0.6321  1 Pt 1.94, 1 Pa 2.14
O 0.3485 0.2422 0.3679  1 Pt 1.94, 1 Pa 2.14
Cs 0.0000 0.0000 0.0000  6 O 3.28
Pt 0.6667 0.3333 0.2507  4 O 1.80-1.94
Pt 0.3333 0.6667 0.7493  4 O 1.80-1.94

Summary:
Fermi-level density of states (states/eV per atom): 0.52
Magnetization (Bohr magnetons per cell): 1.5
Crystal system: trigonal
Energy relative to the elements, uncorrected (meV/atom): -1077